1.
{"formula": "As2P", "functional": "PBE-GGA", "state": "relaxed", "magnetic_moment_mub_per_cell": 0.000, "total_energy_ev_per_atom": -4.73, "density_g_cm3": 5.39, "polymorph_energy_kj_per_mol_atoms": 10.7, "formation_energy_ev_per_atom": 0.1693, "lattice_angstrom": [[3.754, 0.000, 0.000], [-1.877, 3.251, 0.000], [0.000, 0.000, 4.566]], "species": ["As", "As", "P"], "fractional_positions": [[0.333, 0.667, 0.319], [0.667, 0.333, 0.681], [0.000, 0.000, 0.000]]}

***

2.
{"formula": "As4Ir3", "functional": "PBE-GGA", "state": "relaxed", "magnetic_moment_mub_per_cell": 0.000, "total_energy_ev_per_atom": -5.91, "density_g_cm3": 11.98, "polymorph_energy_kj_per_mol_atoms": 37.3, "formation_energy_ev_per_atom": 0.5466, "lattice_angstrom": [[5.441, 0.000, 0.000], [-2.720, 4.712, 0.000], [0.000, 0.000, 4.737]], "species": ["As", "As", "As", "As", "Ir", "Ir", "Ir"], "fractional_positions": [[0.000, 0.000, 0.246], [0.000, 0.000, 0.754], [0.333, 0.667, 0.500], [0.667, 0.333, 0.500], [0.000, 0.500, 0.000], [0.500, 0.000, 0.000], [0.500, 0.500, 0.000]]}

***

3.
{"formula": "TbSmZnHg", "functional": "PBE-GGA", "state": "relaxed", "magnetic_moment_mub_per_cell": 2.877, "total_energy_ev_per_atom": -3.11, "density_g_cm3": 9.43, "polymorph_energy_kj_per_mol_atoms": 2.3, "formation_energy_ev_per_atom": -0.3831, "lattice_angstrom": [[7.399, 0.000, 0.000], [0.000, 7.399, 0.000], [0.000, 0.000, 7.399]], "species": ["Tb", "Tb", "Tb", "Tb", "Sm", "Sm", "Sm", "Sm", "Zn", "Zn", "Zn", "Zn", "Hg", "Hg", "Hg", "Hg"], "fractional_positions": [[0.000, 0.000, 0.000], [0.000, 0.500, 0.500], [0.500, 0.000, 0.500], [0.500, 0.500, 0.000], [0.000, 0.000, 0.500], [0.000, 0.500, 0.000], [0.500, 0.000, 0.000], [0.500, 0.500, 0.500], [0.250, 0.250, 0.750], [0.250, 0.750, 0.250], [0.750, 0.250, 0.250], [0.750, 0.750, 0.750], [0.250, 0.250, 0.250], [0.250, 0.750, 0.750], [0.750, 0.250, 0.750], [0.750, 0.750, 0.250]]}

***

4.
{"formula": "LiZr2V", "functional": "PBE-GGA", "state": "relaxed", "magnetic_moment_mub_per_cell": 0.501, "total_energy_ev_per_atom": -6.86, "density_g_cm3": 5.01, "polymorph_energy_kj_per_mol_atoms": 0.0, "formation_energy_ev_per_atom": 0.1745, "lattice_angstrom": [[3.176, 0.000, 0.000], [0.000, 3.176, 0.000], [0.000, 0.000, 7.893]], "species": ["Li", "Zr", "Zr", "V"], "fractional_positions": [[0.000, 0.000, 0.000], [0.500, 0.500, 0.284], [0.500, 0.500, 0.716], [0.000, 0.000, 0.500]]}

***

5.
{"formula": "ZnSbCl2", "functional": "PBE-GGA", "state": "relaxed", "magnetic_moment_mub_per_cell": 0.000, "total_energy_ev_per_atom": -2.25, "density_g_cm3": 4.81, "polymorph_energy_kj_per_mol_atoms": 54.9, "raw_formation_energy_mev_per_atom": 20, "lattice_angstrom": [[4.497, 0.000, 0.000], [0.000, 4.497, 0.000], [0.000, 0.000, 8.812]], "species": ["Zn", "Zn", "Sb", "Sb", "Cl", "Cl", "Cl", "Cl"], "fractional_positions": [[0.000, 0.000, 0.000], [0.500, 0.500, 0.500], [0.000, 0.000, 0.500], [0.500, 0.500, 0.000], [0.000, 0.500, 0.250], [0.000, 0.500, 0.750], [0.500, 0.000, 0.250], [0.500, 0.000, 0.750]]}

***

6.
{"formula": "LiMgP2O", "functional": "PBE-GGA", "state": "relaxed", "magnetic_moment_mub_per_cell": 0.000, "total_energy_ev_per_atom": -3.70, "density_g_cm3": 2.42, "polymorph_energy_kj_per_mol_atoms": 1.7, "raw_formation_energy_mev_per_atom": 156, "lattice_angstrom": [[4.797, 0.000, 0.000], [0.000, 4.797, 0.000], [0.000, 0.000, 3.255]], "species": ["Li", "Mg", "P", "P", "O"], "fractional_positions": [[0.000, 0.000, 0.000], [0.500, 0.500, 0.500], [0.000, 0.500, 0.000], [0.500, 0.000, 0.000], [0.000, 0.000, 0.500]]}

***

7.
{"formula": "ScRh2", "functional": "PBE-GGA", "state": "relaxed", "magnetic_moment_mub_per_cell": 0.000, "total_energy_ev_per_atom": -6.86, "density_g_cm3": 7.58, "formation_energy_ev_per_atom": 0.1519, "lattice_angstrom": [[6.034, 0.000, 0.000], [0.000, 6.034, 0.000], [0.000, 0.000, 6.034]], "species": ["Sc", "Sc", "Sc", "Sc", "Rh", "Rh", "Rh", "Rh", "Rh", "Rh", "Rh", "Rh"], "fractional_positions": [[0.000, 0.000, 0.000], [0.000, 0.500, 0.500], [0.500, 0.000, 0.500], [0.500, 0.500, 0.000], [0.127, 0.627, 0.873], [0.127, 0.873, 0.373], [0.373, 0.127, 0.873], [0.373, 0.373, 0.373], [0.627, 0.627, 0.627], [0.627, 0.873, 0.127], [0.873, 0.127, 0.627], [0.873, 0.373, 0.127]]}

***

8.
{"formula": "SiB2", "functional": "PBE-GGA", "state": "relaxed", "magnetic_moment_mub_per_cell": 0.000, "total_energy_ev_per_atom": -5.95, "density_g_cm3": 2.46, "polymorph_energy_kj_per_mol_atoms": 11.6, "raw_formation_energy_mev_per_atom": 312, "lattice_angstrom": [[2.991, 0.000, 0.000], [0.000, 3.404, 0.000], [0.000, 0.000, 6.580]], "species": ["Si", "Si", "B", "B", "B", "B"], "fractional_positions": [[0.000, 0.000, 0.000], [0.000, 0.500, 0.500], [0.000, 0.000, 0.669], [0.000, 0.500, 0.169], [0.500, 0.000, 0.786], [0.500, 0.500, 0.286]]}

***

9.
{"formula": "SrMgZn2Pd", "functional": "PBE-GGA", "state": "relaxed", "magnetic_moment_mub_per_cell": 0.000, "total_energy_ev_per_atom": -2.60, "density_g_cm3": 5.29, "polymorph_energy_kj_per_mol_atoms": 0.0, "formation_energy_ev_per_atom": -0.3984, "lattice_angstrom": [[4.260, 0.000, 0.000], [0.000, 4.378, 0.000], [0.000, 0.000, 11.760]], "species": ["Sr", "Sr", "Mg", "Mg", "Zn", "Zn", "Zn", "Zn", "Pd", "Pd"], "fractional_positions": [[0.000, 0.000, 0.000], [0.500, 0.500, 0.500], [0.000, 0.500, 0.758], [0.500, 0.000, 0.258], [0.000, 0.000, 0.613], [0.000, 0.500, 0.259], [0.500, 0.000, 0.759], [0.500, 0.500, 0.113], [0.000, 0.000, 0.393], [0.500, 0.500, 0.893]]}

***

10.
{"formula": "B5C7", "functional": "PBE-GGA", "state": "relaxed", "magnetic_moment_mub_per_cell": 0.000, "total_energy_ev_per_atom": -7.78, "density_g_cm3": 2.92, "polymorph_energy_kj_per_mol_atoms": 11.6, "formation_energy_ev_per_atom": 0.3784, "lattice_angstrom": [[6.042, -1.247, 0.000], [6.042, 1.247, 0.000], [-1.018, 0.000, 5.210]], "species": ["B", "B", "B", "B", "B", "C", "C", "C", "C", "C", "C", "C"], "fractional_positions": [[0.000, 0.000, 0.000], [0.011, 0.011, 0.499], [0.340, 0.340, 0.689], [0.403, 0.403, 0.411], [0.738, 0.738, 0.591], [0.091, 0.091, 0.787], [0.092, 0.092, 0.274], [0.321, 0.321, 0.141], [0.410, 0.410, 0.960], [0.663, 0.663, 0.832], [0.665, 0.665, 0.305], [0.745, 0.745, 0.100]]}

***

11.
{"formula": "Pr2SmCo", "functional": "PBE-GGA", "state": "relaxed", "magnetic_moment_mub_per_cell": 0.291, "total_energy_ev_per_atom": -5.11, "density_g_cm3": 6.48, "polymorph_energy_kj_per_mol_atoms": 28.0, "formation_energy_ev_per_atom": 0.2331, "lattice_angstrom": [[3.714, 0.000, 0.000], [-1.857, 3.216, 0.000], [0.000, 0.000, 31.617]], "species": ["Pr", "Pr", "Pr", "Pr", "Pr", "Pr", "Sm", "Sm", "Sm", "Co", "Co", "Co"], "fractional_positions": [[0.000, 0.000, 0.113], [0.000, 0.000, 0.887], [0.333, 0.667, 0.554], [0.333, 0.667, 0.779], [0.667, 0.333, 0.221], [0.667, 0.333, 0.446], [0.000, 0.000, 0.000], [0.333, 0.667, 0.667], [0.667, 0.333, 0.333], [0.000, 0.000, 0.500], [0.333, 0.667, 0.167], [0.667, 0.333, 0.833]]}

***

12.
{"formula": "Ba2Na2N", "functional": "PBE-GGA", "state": "relaxed", "magnetic_moment_mub_per_cell": 0.000, "total_energy_ev_per_atom": -3.07, "density_g_cm3": 2.60, "raw_formation_energy_mev_per_atom": -111, "lattice_angstrom": [[-2.044, 2.044, 25.630], [2.044, -2.044, 25.630], [2.044, 2.044, -25.630]], "species": ["Ba", "Ba", "Ba", "Ba", "Na", "Na", "Na", "Na", "N", "N"], "fractional_positions": [[0.095, 0.345, 0.750], [0.345, 0.095, 0.250], [0.655, 0.905, 0.750], [0.905, 0.655, 0.250], [0.221, 0.471, 0.750], [0.471, 0.221, 0.250], [0.529, 0.779, 0.750], [0.779, 0.529, 0.250], [0.125, 0.875, 0.250], [0.875, 0.125, 0.750]]}

***

13.
{"formula": "PmPr2IrO8", "functional": "PBE-GGA", "state": "relaxed", "magnetic_moment_mub_per_cell": 1.804, "total_energy_ev_per_atom": -7.45, "density_g_cm3": 6.44, "raw_formation_energy_mev_per_atom": -2212, "lattice_angstrom": [[5.221, 0.000, 0.000], [0.000, 7.048, 0.000], [-0.015, 0.000, 5.233]], "species": ["Pm", "Pr", "Pr", "Ir", "O", "O", "O", "O", "O", "O", "O", "O"], "fractional_positions": [[0.000, 0.000, 0.000], [0.500, 0.252, 0.500], [0.500, 0.748, 0.500], [0.000, 0.500, 0.000], [0.178, 0.295, 0.823], [0.178, 0.705, 0.823], [0.256, 0.500, 0.256], [0.307, 0.000, 0.308], [0.693, 0.000, 0.692], [0.744, 0.500, 0.744], [0.822, 0.295, 0.177], [0.822, 0.705, 0.177]]}

***

14.
{"formula": "Pu2Ga2Si", "functional": "PBE-GGA", "state": "relaxed", "magnetic_moment_mub_per_cell": 22.161, "total_energy_ev_per_atom": -8.35, "density_g_cm3": 10.59, "raw_formation_energy_mev_per_atom": -323, "lattice_angstrom": [[5.110, -2.281, 0.000], [5.110, 2.281, 0.000], [-3.440, 0.000, 8.817]], "species": ["Pu", "Pu", "Pu", "Pu", "Ga", "Ga", "Ga", "Ga", "Si", "Si"], "fractional_positions": [[0.072, 0.072, 0.363], [0.179, 0.179, 0.063], [0.821, 0.821, 0.937], [0.928, 0.928, 0.637], [0.378, 0.378, 0.393], [0.498, 0.498, 0.140], [0.502, 0.502, 0.860], [0.622, 0.622, 0.607], [0.245, 0.245, 0.705], [0.755, 0.755, 0.295]]}

***

15.
{"formula": "Nd2SnSb3Pd4", "functional": "PBE-GGA", "state": "relaxed", "magnetic_moment_mub_per_cell": 0.000, "total_energy_ev_per_atom": -5.49, "density_g_cm3": 8.76, "raw_formation_energy_mev_per_atom": -820, "lattice_angstrom": [[4.516, 0.000, 0.000], [0.000, 4.516, 0.000], [0.000, 0.000, 11.136]], "species": ["Nd", "Nd", "Sn", "Sb", "Sb", "Sb", "Pd", "Pd", "Pd", "Pd"], "fractional_positions": [[0.000, 0.500, 0.235], [0.500, 0.000, 0.765], [0.000, 0.000, 0.500], [0.000, 0.500, 0.869], [0.500, 0.000, 0.131], [0.500, 0.500, 0.500], [0.000, 0.000, 0.000], [0.000, 0.500, 0.636], [0.500, 0.000, 0.364], [0.500, 0.500, 0.000]]}

***

16.
{"formula": "BaLiCdPd", "functional": "PBE-GGA", "state": "relaxed", "magnetic_moment_mub_per_cell": 0.000, "total_energy_ev_per_atom": -2.72, "density_g_cm3": 6.01, "polymorph_energy_kj_per_mol_atoms": 16.3, "formation_energy_ev_per_atom": -0.2309, "lattice_angstrom": [[7.376, 0.000, 0.000], [0.000, 7.376, 0.000], [0.000, 0.000, 7.376]], "species": ["Ba", "Ba", "Ba", "Ba", "Li", "Li", "Li", "Li", "Cd", "Cd", "Cd", "Cd", "Pd", "Pd", "Pd", "Pd"], "fractional_positions": [[0.000, 0.000, 0.000], [0.000, 0.500, 0.500], [0.500, 0.000, 0.500], [0.500, 0.500, 0.000], [0.250, 0.250, 0.250], [0.250, 0.750, 0.750], [0.750, 0.250, 0.750], [0.750, 0.750, 0.250], [0.000, 0.000, 0.500], [0.000, 0.500, 0.000], [0.500, 0.000, 0.000], [0.500, 0.500, 0.500], [0.250, 0.250, 0.750], [0.250, 0.750, 0.250], [0.750, 0.250, 0.250], [0.750, 0.750, 0.750]]}

***

17.
{"formula": "Dy3Ho3Th2", "functional": "PBE-GGA", "state": "relaxed", "magnetic_moment_mub_per_cell": 0.000, "total_energy_ev_per_atom": -5.27, "density_g_cm3": 9.48, "polymorph_energy_kj_per_mol_atoms": 0.0, "formation_energy_ev_per_atom": 0.0231, "lattice_angstrom": [[5.019, 0.000, 0.000], [0.000, 5.019, 0.000], [0.000, 0.000, 20.121]], "species": ["Dy", "Dy", "Dy", "Dy", "Dy", "Dy", "Ho", "Ho", "Ho", "Ho", "Ho", "Ho", "Th", "Th", "Th", "Th"], "fractional_positions": [[0.000, 0.000, 0.000], [0.000, 0.500, 0.127], [0.000, 0.500, 0.873], [0.500, 0.000, 0.373], [0.500, 0.000, 0.627], [0.500, 0.500, 0.500], [0.000, 0.000, 0.500], [0.000, 0.500, 0.373], [0.000, 0.500, 0.627], [0.500, 0.000, 0.127], [0.500, 0.000, 0.873], [0.500, 0.500, 0.000], [0.000, 0.000, 0.250], [0.000, 0.000, 0.750], [0.500, 0.500, 0.250], [0.500, 0.500, 0.750]]}

***

18.
{"formula": "PmNd4Sm", "functional": "PBE-GGA", "state": "relaxed", "magnetic_moment_mub_per_cell": 0.000, "total_energy_ev_per_atom": -4.50, "density_g_cm3": 6.73, "polymorph_energy_kj_per_mol_atoms": 3.5, "formation_energy_ev_per_atom": 0.2547, "lattice_angstrom": [[0.000, 4.757, 4.757], [4.757, 0.000, 4.757], [4.757, 4.757, 0.000]], "species": ["Pm", "Nd", "Nd", "Nd", "Nd", "Sm"], "fractional_positions": [[0.000, 0.000, 0.000], [0.125, 0.625, 0.625], [0.625, 0.125, 0.625], [0.625, 0.625, 0.125], [0.625, 0.625, 0.625], [0.250, 0.250, 0.250]]}

***

19.
{"formula": "Tl2IrSe", "functional": "PBE-GGA", "state": "relaxed", "magnetic_moment_mub_per_cell": 0.000, "total_energy_ev_per_atom": -4.21, "density_g_cm3": 10.92, "polymorph_energy_kj_per_mol_atoms": 0.0, "raw_formation_energy_mev_per_atom": 61, "lattice_angstrom": [[3.693, 0.000, 0.000], [0.000, 5.433, 0.000], [0.000, 0.000, 10.306]], "species": ["Tl", "Tl", "Tl", "Tl", "Ir", "Ir", "Se", "Se"], "fractional_positions": [[0.000, 0.000, 0.000], [0.000, 0.500, 0.500], [0.500, 0.000, 0.309], [0.500, 0.500, 0.809], [0.000, 0.000, 0.523], [0.000, 0.500, 0.023], [0.500, 0.000, 0.675], [0.500, 0.500, 0.175]]}

***

20.
{"formula": "CePaFeOs", "functional": "PBE-GGA", "state": "relaxed", "magnetic_moment_mub_per_cell": 0.844, "total_energy_ev_per_atom": -8.81, "density_g_cm3": 12.90, "formation_energy_ev_per_atom": -0.0303, "lattice_angstrom": [[6.824, 0.000, 0.000], [0.000, 6.824, 0.000], [0.000, 0.000, 6.824]], "species": ["Ce", "Ce", "Ce", "Ce", "Pa", "Pa", "Pa", "Pa", "Fe", "Fe", "Fe", "Fe", "Os", "Os", "Os", "Os"], "fractional_positions": [[0.000, 0.000, 0.000], [0.000, 0.500, 0.500], [0.500, 0.000, 0.500], [0.500, 0.500, 0.000], [0.000, 0.000, 0.500], [0.000, 0.500, 0.000], [0.500, 0.000, 0.000], [0.500, 0.500, 0.500], [0.250, 0.250, 0.250], [0.250, 0.750, 0.750], [0.750, 0.250, 0.750], [0.750, 0.750, 0.250], [0.250, 0.250, 0.750], [0.250, 0.750, 0.250], [0.750, 0.250, 0.250], [0.750, 0.750, 0.750]]}

***

21.
{"formula": "FeSb2Pb", "functional": "PBE-GGA", "state": "relaxed", "magnetic_moment_mub_per_cell": 5.825, "total_energy_ev_per_atom": -4.80, "density_g_cm3": 8.78, "raw_formation_energy_mev_per_atom": 309, "lattice_angstrom": [[3.411, 0.000, 0.000], [-1.705, 2.954, 0.000], [0.000, 0.000, 28.536]], "species": ["Fe", "Fe", "Fe", "Sb", "Sb", "Sb", "Sb", "Sb", "Sb", "Pb", "Pb", "Pb"], "fractional_positions": [[0.000, 0.000, 0.000], [0.333, 0.667, 0.667], [0.667, 0.333, 0.333], [0.000, 0.000, 0.490], [0.000, 0.000, 0.727], [0.333, 0.667, 0.156], [0.333, 0.667, 0.393], [0.667, 0.333, 0.060], [0.667, 0.333, 0.823], [0.000, 0.000, 0.261], [0.333, 0.667, 0.928], [0.667, 0.333, 0.594]]}

***

22.
{"formula": "CsIn2Cl3", "functional": "PBE-GGA", "state": "relaxed", "magnetic_moment_mub_per_cell": 0.000, "total_energy_ev_per_atom": -3.17, "density_g_cm3": 3.68, "polymorph_energy_kj_per_mol_atoms": 0.0, "raw_formation_energy_mev_per_atom": -1187, "lattice_angstrom": [[4.319, 0.000, 0.000], [0.000, 11.493, 0.000], [0.000, 0.000, 8.530]], "species": ["Cs", "Cs", "In", "In", "In", "In", "Cl", "Cl", "Cl", "Cl", "Cl", "Cl"], "fractional_positions": [[0.000, 0.110, 0.000], [0.000, 0.890, 0.500], [0.000, 0.279, 0.535], [0.000, 0.721, 0.035], [0.500, 0.483, 0.083], [0.500, 0.517, 0.583], [0.000, 0.399, 0.878], [0.000, 0.601, 0.378], [0.500, 0.109, 0.661], [0.500, 0.274, 0.240], [0.500, 0.726, 0.740], [0.500, 0.891, 0.161]]}